[1]
Below is a geometry-optimized YU2Se6 structure, with properties calculated at the GGA-PBE level.

Properties
The excess energy over the best structure of this formula in the dataset comes out at 0 meV per atom.

Structure (CIF):
```
data_YU2Se6
_symmetry_space_group_name_H-M 'C 1 2/m 1'
_symmetry_Int_Tables_number 12
_symmetry_space_group_name_Hall '-C 2y'
_cell_length_a 18.090
_cell_length_b 4.152
_cell_length_c 8.406
_cell_angle_alpha 90.00
_cell_angle_beta 104.20
_cell_angle_gamma 90.00
loop_
_atom_site_label
_atom_site_type_symbol
_atom_site_fract_x
_atom_site_fract_y
_atom_site_fract_z
Y1 Y 0.000 0.000 0.000
U1 U 0.165 0.500 0.324
Se1 Se 0.010 0.500 0.241
Se2 Se 0.165 0.000 0.101
Se3 Se 0.174 0.000 0.558
```

[2]
Below is a geometry-optimized Y6USe12 structure, with properties calculated at the GGA-PBE level.

Structure (CIF):
```
data_Y6USe12
_symmetry_space_group_name_H-M 'R -3'
_symmetry_Int_Tables_number 148
_symmetry_space_group_name_Hall '-R 3'
_cell_length_a 12.4953
_cell_length_b 12.4953
_cell_length_c 11.8388
_cell_angle_alpha 90.00
_cell_angle_beta 90.00
_cell_angle_gamma 120.00
loop_
_atom_site_label
_atom_site_type_symbol
_atom_site_fract_x
_atom_site_fract_y
_atom_site_fract_z
Y1 Y 0.0428 0.2679 0.1308
U1 U 0.0000 0.0000 0.5000
Se1 Se 0.0283 0.2150 0.8910
Se2 Se 0.0471 0.1983 0.3741
```

[3]
Below is a geometry-optimized YUSe2 structure, with properties calculated at the GGA-PBE level.

Properties
The excess energy over the best structure of this formula in the dataset comes out at 0 meV per atom.

Structure (CIF):
```
data_YUSe2
_symmetry_space_group_name_H-M 'R -3 m'
_symmetry_Int_Tables_number 166
_symmetry_space_group_name_Hall '-R 3 2"'
_cell_length_a 3.9933
_cell_length_b 3.9933
_cell_length_c 20.7818
_cell_angle_alpha 90.00
_cell_angle_beta 90.00
_cell_angle_gamma 120.00
loop_
_atom_site_label
_atom_site_type_symbol
_atom_site_fract_x
_atom_site_fract_y
_atom_site_fract_z
Y1 Y 0.0000 0.0000 0.0000
U1 U 0.0000 0.0000 0.5000
Se1 Se 0.0000 0.0000 0.2513
```

[4]
Below is a geometry-optimized Y2USe5 structure, with properties calculated at the GGA-PBE level.

Properties
The excess energy over the best structure of this formula in the dataset comes out at 0 meV per atom.

Structure (CIF):
```
data_Y2USe5
_symmetry_space_group_name_H-M 'C m c m'
_symmetry_Int_Tables_number 63
_symmetry_space_group_name_Hall '-C 2c 2'
_cell_length_a 5.627
_cell_length_b 13.551
_cell_length_c 13.684
_cell_angle_alpha 90.00
_cell_angle_beta 90.00
_cell_angle_gamma 90.00
loop_
_atom_site_label
_atom_site_type_symbol
_atom_site_fract_x
_atom_site_fract_y
_atom_site_fract_z
Y1 Y 0.000 0.149 0.056
U1 U 0.000 0.202 0.750
Se1 Se 0.000 0.047 0.622
Se2 Se 0.000 0.250 0.250
Se3 Se 0.000 0.321 0.573
```

[5]
Below is a geometry-optimized Y2USe5 structure, with properties calculated at the GGA-PBE level.

Properties
The excess energy over the best structure of this formula in the dataset comes out at 219 meV per atom.

Structure (CIF):
```
data_Y2USe5
_symmetry_space_group_name_H-M 'F m m m'
_symmetry_Int_Tables_number 69
_symmetry_space_group_name_Hall '-F 2 2'
_cell_length_a 5.604
_cell_length_b 9.528
_cell_length_c 15.345
_cell_angle_alpha 90.00
_cell_angle_beta 90.00
_cell_angle_gamma 90.00
loop_
_atom_site_label
_atom_site_type_symbol
_atom_site_fract_x
_atom_site_fract_y
_atom_site_fract_z
Y1 Y 0.000 0.000 0.181
U1 U 0.000 0.000 0.500
Se1 Se 0.000 0.000 0.000
Se2 Se 0.000 0.165 0.345
```

[6]
Below is a geometry-optimized YU2Se6 structure, with properties calculated at the GGA-PBE level.

Properties
The excess energy over the best structure of this formula in the dataset comes out at 139 meV per atom.

Structure (CIF):
```
data_YU2Se6
_symmetry_space_group_name_H-M 'C 1 2/m 1'
_symmetry_Int_Tables_number 12
_symmetry_space_group_name_Hall '-C 2y'
_cell_length_a 14.009
_cell_length_b 5.424
_cell_length_c 9.188
_cell_angle_alpha 90.00
_cell_angle_beta 127.37
_cell_angle_gamma 90.00
loop_
_atom_site_label
_atom_site_type_symbol
_atom_site_fract_x
_atom_site_fract_y
_atom_site_fract_z
Y1 Y 0.000 0.000 0.000
U1 U 0.183 0.000 0.607
Se1 Se 0.043 0.000 0.728
Se2 Se 0.128 0.500 0.044
Se3 Se 0.240 0.500 0.625
```

We obtain formation energy from raw total energies values of -1295; -1641; -1374; -1548; -1329; -1156 meV per atom for the records listed above, in that order.